Density functional theory data (PBE) for a geometry-optimized Zr4HC2N structure.

Geometry as CIF:
```
data_Zr4HC2N
_chemical_formula_sum 'Zr4 H1 C2 N1'
_symmetry_space_group_name_H-M 'P 1 2/m 1'
_symmetry_Int_Tables_number 10
_cell_length_a 5.688
_cell_length_b 3.323
_cell_length_c 5.748
_cell_angle_alpha 90.00
_cell_angle_beta 109.29
_cell_angle_gamma 90.00
loop_
_symmetry_equiv_pos_as_xyz
'x,y,z'
'-x,-y,-z'
'-x,y,-z'
'x,-y,z'
loop_
_atom_site_label
_atom_site_type_symbol
_atom_site_fract_x
_atom_site_fract_y
_atom_site_fract_z
Zr1 Zr 0.239 0.000 0.236
Zr2 Zr 0.242 0.500 0.755
H1 H 0.500 0.500 0.500
C1 C 0.000 0.000 0.500
C2 C 0.000 0.500 0.000
N1 N 0.500 0.000 0.000
```

Output
Calculated volume   12.82 A^3/atom
Calculated total energy   -9.041 eV per atom